# 1
RbLi2Nb: optimized geometry, PBE.

abc: 7.8502 7.8502 7.8502
angles: 90.00 90.00 90.00
Last column: nearest neighbours and their distance in Å.
Space group Fm-3m (No. 225)
One atom of each set of equivalent atoms:
1 Rb 0.0000 0.0000 0.0000 [4 per cell]  8 Li 3.40
2 Li 0.2500 0.2500 0.2500 [8 per cell]  4 Nb 3.40, 4 Rb 3.40
3 Nb 0.0000 0.0000 0.5000 [4 per cell]  8 Li 3.40

Properties
The calculation puts the density of states at the Fermi level at 21.12 states/eV per cell. Its density is 2.6 g cm⁻³. Its uncorrected energy is -2.5889 eV per atom. The value obtained for the energy relative to the elements is 1.127 eV per atom. As for the volume: 30.24 Å³ per atom. As for the energy above the most stable polymorph in this dataset: 0.000 eV per atom.

=====

# 2
Fe2MoBr: optimized geometry, PBE.

abc: 2.9255 4.4378 8.8329
angles: 90.00 90.00 90.00
Last column: nearest neighbours and their distance in Å.
Space group Immm (No. 71)
One atom of each set of equivalent atoms:
1 Fe 0.0000 0.0000 0.2411 [4 per cell]  2 Br 2.58, 4 Fe 2.66, 2 Mo 2.71
2 Mo 0.0000 0.5000 0.0000 [2 per cell]  4 Br 2.66, 4 Fe 2.71, 2 Mo 2.93
3 Br 0.0000 0.5000 0.5000 [2 per cell]  4 Fe 2.58, 4 Mo 2.66

Properties
The calculation puts the density of states at the Fermi level at 8.39 states/eV per cell. Its density is 8.3 g cm⁻³. Its uncorrected energy is -6.5756 eV per atom. The uncorrected formation energy is 75 kJ/mol of atoms. As for the volume: 14.33 Å³ per atom. As for the energy above the most stable polymorph in this dataset: 0.357 eV per atom.